## a
Here is a relaxed structure of BeCr2O4 from the Alexandria database. Energies are from GGA+U.

Values from the calculation:
The value obtained for the magnetic moment is 0.857 μB per atom. Its symmetry is No. 62.

Cell: 9.3873 3.0522 9.6904 Å, 90.00 90.00 90.00°
Fractional coordinates of all 28 atoms:
Be1 0.1560 0.2500 0.1172
Be2 0.3440 0.7500 0.6172
Be3 0.6560 0.2500 0.3828
Be4 0.8440 0.7500 0.8828
Cr1 0.1176 0.2500 0.8018
Cr2 0.1220 0.2500 0.4301
Cr3 0.3780 0.7500 0.9301
Cr4 0.3824 0.7500 0.3018
Cr5 0.6176 0.2500 0.6982
Cr6 0.6220 0.2500 0.0699
Cr7 0.8780 0.7500 0.5699
Cr8 0.8824 0.7500 0.1982
O1 0.0038 0.7500 0.8668
O2 0.0143 0.2500 0.6139
O3 0.2414 0.2500 0.9790
O4 0.2430 0.2500 0.2534
O5 0.2570 0.7500 0.7534
O6 0.2586 0.7500 0.4790
O7 0.4857 0.7500 0.1139
O8 0.4962 0.2500 0.3668
O9 0.5038 0.7500 0.6332
O10 0.5143 0.2500 0.8861
O11 0.7414 0.2500 0.5210
O12 0.7430 0.2500 0.2466
O13 0.7570 0.7500 0.7466
O14 0.7586 0.7500 0.0210
O15 0.9857 0.7500 0.3861
O16 0.9962 0.2500 0.1332


## b
Here is a relaxed structure of BeCr2O4 from the Alexandria database. Energies are from GGA+U.

Values from the calculation:
The value obtained for the magnetic moment is 0.857 μB per atom. Its symmetry is No. 62.

Cell: 9.9856 5.8095 4.5984 Å, 90.00 90.00 90.00°
Fractional coordinates of all 28 atoms:
Be1 0.0928 0.2500 0.0691
Be2 0.4072 0.7500 0.5691
Be3 0.5928 0.2500 0.4309
Be4 0.9072 0.7500 0.9309
Cr1 0.0000 0.0000 0.5000
Cr2 0.0000 0.5000 0.5000
Cr3 0.2303 0.7500 0.0022
Cr4 0.2697 0.2500 0.5022
Cr5 0.5000 0.0000 0.0000
Cr6 0.5000 0.5000 0.0000
Cr7 0.7303 0.7500 0.4978
Cr8 0.7697 0.2500 0.9978
O1 0.0591 0.7500 0.7719
O2 0.0926 0.2500 0.7241
O3 0.1629 0.0256 0.2378
O4 0.1629 0.4744 0.2378
O5 0.3371 0.5256 0.7378
O6 0.3371 0.9744 0.7378
O7 0.4074 0.7500 0.2241
O8 0.4409 0.2500 0.2719
O9 0.5591 0.7500 0.7281
O10 0.5926 0.2500 0.7759
O11 0.6629 0.0256 0.2622
O12 0.6629 0.4744 0.2622
O13 0.8371 0.5256 0.7622
O14 0.8371 0.9744 0.7622
O15 0.9074 0.7500 0.2759
O16 0.9409 0.2500 0.2281


Most stable structure among those shown: b.